DFT (meta-GGA SCAN) results for a crystal of KAlCr2 relaxed with PBEsol.

POSCAR file:
```
KAlCr2
1.0
2.7552 0.0000 0.0000
0.0000 4.1367 0.0000
-0.0113 0.0000 6.9461
K Al Cr
1 1 2
Direct
0.0000 0.0000 0.0000
0.5000 0.0000 0.5000
0.9995 0.5000 0.3655
0.0005 0.5000 0.6345
```

The formation energy is 0.7268 eV per atom. As for the total DFT energy (no corrections): -0.9177 Ry per atom. The total magnetization comes out at 0.004 μB per cell.